Here is an optimized crystal structure of Ca4Hg from the Alexandria database. Energies are from PBE.

Unit cell a=5.9439 b=5.9439 c=5.9439 alpha=90.00 beta=90.00 gamma=90.00
Closest atoms and distances in Å follow each position.
Space group Pm-3m (No. 221)
Asymmetric unit:
Ca  0.0000  0.0000  0.0000 (multiplicity 1)  12 Ca 4.20
Ca  0.0000  0.5000  0.5000 (multiplicity 3)  2 Hg 2.97
Hg  0.5000  0.5000  0.5000 (multiplicity 1)  6 Ca 2.97

- energy of formation from the pure elements (eV per atom) = -0.101
- mass density (Mg/m³) = 2.85